Here is a relaxed NdInCoO3 crystal from OQMD. Energies are from GGA+U.

abc: 3.268 17.363 6.704
angles: 90.00 90.00 90.00
Space group Cmcm (No. 63)
Asymmetric unit:
Nd 0.000 0.000 0.000
In 0.000 0.201 0.250
Co 0.000 0.358 0.250
O 0.000 0.134 0.543
O 0.000 0.498 0.750

- VASP energy (eV per atom) = -6.2290
- magnetic moment (μB/cell) = 11.76
- crystal system = orthorhombic